[1]
DFT (PBE) results for a relaxed structure of CsTl2Cl4.

Unit cell a=6.4373 b=6.4373 c=8.7972 alpha=68.54 beta=68.54 gamma=90.00
With the nearest neighbours (Å) after each atom.
Fractional positions:
Tl (0.3983, 0.3983, 0.2035)  1 Cl 2.55
Tl (0.6017, 0.6017, 0.7965)  1 Cl 2.55
Cl (0.7710, 0.7710, 0.4580)  1 Tl 2.55
Cl (0.0000, 0.5000, 0.0000)  2 Cs 3.22, 4 Tl 3.56
Cl (0.5000, 0.0000, 0.0000)  2 Cs 3.22, 4 Tl 3.56
Cl (0.2290, 0.2290, 0.5420)  1 Tl 2.55
Cs (0.0000, 0.0000, 0.0000)  6 Cl 3.22-3.45

Results
space group = No. 139
formation energy without anion corrections = -0.93 eV per atom
total magnetization = 0.2 μB per formula unit
DOS(E_F) = 4.97 states/eV per cell
E = -2.780 eV per atom

[2]
DFT (PBE) results for a relaxed structure of CsTl4Cl12.

Unit cell a=8.8664 b=8.8664 c=8.8664 alpha=109.47 beta=109.47 gamma=109.47
With the nearest neighbours (Å) after each atom.
Fractional positions:
Tl (0.0000, 0.0000, 0.5000)  6 Cl 2.69
Tl (0.5000, 0.5000, 0.5000)  6 Cl 2.69
Tl (0.0000, 0.5000, 0.0000)  6 Cl 2.69
Tl (0.5000, 0.0000, 0.0000)  6 Cl 2.69
Cl (0.1879, 0.6995, 0.8874)  2 Tl 2.69
Cl (0.3005, 0.1126, 0.8121)  2 Tl 2.69
Cl (0.4885, 0.1879, 0.3005)  2 Tl 2.69
Cl (0.1126, 0.8121, 0.3005)  2 Tl 2.69
Cl (0.6995, 0.8874, 0.1879)  2 Tl 2.69
Cl (0.8121, 0.3005, 0.1126)  2 Tl 2.69
Cl (0.3005, 0.4885, 0.1879)  2 Tl 2.69
Cl (0.8121, 0.6995, 0.5115)  2 Tl 2.69
Cl (0.1879, 0.3005, 0.4885)  2 Tl 2.69
Cl (0.5115, 0.8121, 0.6995)  2 Tl 2.69
Cl (0.8874, 0.1879, 0.6995)  2 Tl 2.69
Cl (0.6995, 0.5115, 0.8121)  2 Tl 2.69
Cs (0.0000, 0.0000, 0.0000)  12 Cl 3.63

Results
space group = No. 204
formation energy without anion corrections = -0.80 eV per atom
total magnetization = 0.0 μB per formula unit
DOS(E_F) = 2.93 states/eV per cell
E = -2.706 eV per atom

[3]
DFT (PBE) results for a relaxed structure of Cs3Tl5Cl12.

Unit cell a=16.1157 b=16.1157 c=16.1157 alpha=109.47 beta=109.47 gamma=109.47
With the nearest neighbours (Å) after each atom.
Fractional positions:
Cl (0.7120, 0.1206, 0.0214)  1 Tl 2.64
Cl (0.4786, 0.7880, 0.8794)  1 Tl 2.64
Cl (0.7880, 0.4786, 0.3794)  1 Tl 2.64
Cl (0.0915, 0.9008, 0.3794)  1 Tl 2.64
Cl (0.8093, 0.9008, 0.0214)  1 Tl 2.64
Cl (0.1206, 0.7120, 0.5214)  1 Tl 2.64
Cl (0.9008, 0.8093, 0.5214)  1 Tl 2.64
Cl (0.9085, 0.8093, 0.7880)  1 Tl 2.64
Cl (0.9008, 0.0915, 0.8794)  1 Tl 2.64
Cl (0.1206, 0.4085, 0.0992)  1 Tl 2.64
Cl (0.0214, 0.4008, 0.8093)  1 Tl 2.64
Cl (0.2880, 0.8794, 0.9786)  1 Tl 2.64
Cl (0.5214, 0.3093, 0.9008)  1 Tl 2.64
Cl (0.4085, 0.2880, 0.3093)  1 Tl 2.64
Cl (0.1907, 0.0992, 0.9786)  1 Tl 2.64
Cl (0.4008, 0.3794, 0.5915)  1 Tl 2.64
Cl (0.2880, 0.4085, 0.8093)  1 Tl 2.64
Cl (0.2120, 0.5214, 0.6206)  1 Tl 2.64
Cl (0.2120, 0.6907, 0.0915)  1 Tl 2.64
Cl (0.7120, 0.5915, 0.1907)  1 Tl 2.64
Cl (0.1907, 0.0915, 0.7120)  1 Tl 2.64
Cl (0.5214, 0.2120, 0.1206)  1 Tl 2.64
Cl (0.4085, 0.1206, 0.5992)  1 Tl 2.64
Cl (0.5915, 0.8794, 0.4008)  1 Tl 2.64
Cl (0.5992, 0.9786, 0.6907)  1 Tl 2.64
Cl (0.6206, 0.5992, 0.9085)  1 Tl 2.64
Cl (0.6907, 0.2120, 0.5915)  1 Tl 2.64
Cl (0.3794, 0.9786, 0.7880)  1 Tl 2.64
Cl (0.9786, 0.5992, 0.1907)  1 Tl 2.64
Cl (0.3794, 0.4008, 0.0915)  1 Tl 2.64
Cl (0.5992, 0.6206, 0.4085)  1 Tl 2.64
Cl (0.8794, 0.2880, 0.4786)  1 Tl 2.64
Cl (0.0214, 0.6206, 0.7120)  1 Tl 2.64
Cl (0.8794, 0.5915, 0.9008)  1 Tl 2.64
Cl (0.3093, 0.7880, 0.4085)  1 Tl 2.64
Cl (0.6206, 0.0214, 0.2120)  1 Tl 2.64
Cl (0.3093, 0.5214, 0.4008)  1 Tl 2.64
Cl (0.0915, 0.1907, 0.2120)  1 Tl 2.64
Cl (0.5915, 0.7120, 0.6907)  1 Tl 2.64
Cl (0.7880, 0.3093, 0.9085)  1 Tl 2.64
Cl (0.8093, 0.9085, 0.2880)  1 Tl 2.64
Cl (0.0992, 0.1907, 0.4786)  1 Tl 2.64
Cl (0.4786, 0.6907, 0.0992)  1 Tl 2.64
Cl (0.9786, 0.3794, 0.2880)  1 Tl 2.64
Cl (0.6907, 0.4786, 0.5992)  1 Tl 2.64
Cl (0.9085, 0.0992, 0.6206)  1 Tl 2.64
Cl (0.0992, 0.9085, 0.1206)  1 Tl 2.64
Cl (0.4008, 0.0214, 0.3093)  1 Tl 2.64
Cs (0.3750, 0.7500, 0.6250)  8 Cl 3.61-3.71
Cs (0.6250, 0.3750, 0.7500)  8 Cl 3.61-3.71
Cs (0.3750, 0.6250, 0.2500)  8 Cl 3.61-3.71
Cs (0.2500, 0.6250, 0.8750)  8 Cl 3.61-3.71
Cs (0.1250, 0.8750, 0.7500)  8 Cl 3.61-3.71
Cs (0.7500, 0.3750, 0.1250)  8 Cl 3.61-3.71
Cs (0.6250, 0.2500, 0.3750)  8 Cl 3.61-3.71
Cs (0.1250, 0.2500, 0.8750)  8 Cl 3.61-3.71
Cs (0.7500, 0.8750, 0.6250)  8 Cl 3.61-3.71
Cs (0.8750, 0.1250, 0.2500)  8 Cl 3.61-3.71
Cs (0.2500, 0.1250, 0.3750)  8 Cl 3.61-3.71
Cs (0.8750, 0.7500, 0.1250)  8 Cl 3.61-3.71
Tl (0.6250, 0.7500, 0.8750)  4 Cl 2.64
Tl (0.7500, 0.1250, 0.8750)  4 Cl 2.64
Tl (0.0000, 0.5000, 0.0000)  6 Cl 3.15
Tl (0.5000, 0.0000, 0.5000)  6 Cl 3.15
Tl (0.0000, 0.0000, 0.5000)  6 Cl 3.15
Tl (0.8750, 0.2500, 0.6250)  4 Cl 2.64
Tl (0.5000, 0.0000, 0.0000)  6 Cl 3.15
Tl (0.5000, 0.5000, 0.5000)  6 Cl 3.15
Tl (0.0000, 0.0000, 0.0000)  6 Cl 3.15
Tl (0.3750, 0.1250, 0.7500)  4 Cl 2.64
Tl (0.8750, 0.6250, 0.7500)  4 Cl 2.64
Tl (0.0000, 0.5000, 0.5000)  6 Cl 3.15
Tl (0.2500, 0.3750, 0.6250)  4 Cl 2.64
Tl (0.6250, 0.8750, 0.2500)  4 Cl 2.64
Tl (0.1250, 0.3750, 0.2500)  4 Cl 2.64
Tl (0.7500, 0.6250, 0.3750)  4 Cl 2.64
Tl (0.5000, 0.5000, 0.0000)  6 Cl 3.15
Tl (0.1250, 0.7500, 0.3750)  4 Cl 2.64
Tl (0.3750, 0.2500, 0.1250)  4 Cl 2.64
Tl (0.2500, 0.8750, 0.1250)  4 Cl 2.64

Results
space group = No. 230
formation energy without anion corrections = -1.15 eV per atom
total magnetization = 0.0 μB per formula unit
DOS(E_F) = 48.63 states/eV per cell
E = -2.978 eV per atom